Density functional theory data (PBE+U) for IrWOF2 after structural relaxation.

Unit cell a=4.579 b=4.579 c=3.705 alpha=90.00 beta=90.00 gamma=90.00
Space group P4/mmm (No. 123)
Inequivalent atoms, fractional coordinates:
Ir  0.000  0.000  0.000 x1
W  0.500  0.500  0.500 x1
O  0.000  0.000  0.500 x1
F  0.000  0.500  0.000 x2

## Properties
- Energy: -4.93 eV/atom
- Magnetization: 0.9222 μB per atom